VASP calculation (PBE) on a geometry-optimized LiInAu structure.

Summary:
* energy of formation: -0.423 eV/atom
* SG: I4mm, No. 107
* calculated total energy: -3.07 eV per atom

```
LiInAu
1.0
-1.759 1.759 4.439
1.759 -1.759 4.439
1.759 1.759 -4.439
Li In Au
1 1 1
Direct
0.000 0.000 0.000
0.324 0.324 0.000
0.646 0.646 0.000
```